Run i
Below is a relaxed structure of RbBe2Pt, with properties calculated at the PBE level.

The structure belongs to space group I4_1/amd (No. 141, origin choice 2); the cell edges are 5.321, 5.321 and 13.828 Å and the angles 90.00°, 90.00° and 90.00°. The distinct sites, in fractional coordinates, are Rb at (0.000, 0.250, 0.375), Be at (0.000, 0.000, 0.000) and Pt at (0.000, 0.250, 0.875).

---

Run ii
Below is a relaxed structure of RbBe2Pt, with properties calculated at the PBE level.

The structure belongs to space group Fm-3m (No. 225); the cell edges are 6.579, 6.579 and 6.579 Å and the angles 90.00°, 90.00° and 90.00°. The distinct sites, in fractional coordinates, are Rb at (0.000, 0.000, 0.000), Be at (0.250, 0.250, 0.250) and Pt at (0.000, 0.000, 0.500).

---

run i comes first in stability; the runner-up is 0.846 eV/atom higher.